Entry 1:
# Cu2ReCl | the Alexandria database | PBE-GGA | relaxed
data_Cu2ReCl
_chemical_formula_sum 'Cu4 Re2 Cl2'
_cell_length_a 2.750
_cell_length_b 4.414
_cell_length_c 9.443
_cell_angle_alpha 90.00
_cell_angle_beta 90.00
_cell_angle_gamma 90.00
_space_group_name_H-M_alt 'P 1'
_space_group_IT_number 1
_space_group_name_Hall 'P 1'
loop_
_atom_site_label
_atom_site_fract_x
_atom_site_fract_y
_atom_site_fract_z
Cu1 0.000 0.000 0.243
Cu2 0.000 0.000 0.757
Cu3 0.500 0.500 0.257
Cu4 0.500 0.500 0.743
Re1 0.000 0.500 0.500
Re2 0.500 0.000 0.000
Cl1 0.000 0.500 0.000
Cl2 0.500 0.000 0.500
# energy = -38.46 eV for the cell shown
# D(E_F) = 2.73 states/eV/f.u.
# energy relative to the elements, uncorrected = 0.815 eV per atom
# M_tot = 0.00 μB per formula unit



Entry 2:
# Pa4PtSe3 | the Alexandria database | PBE-GGA | relaxed
data_Pa4PtSe3
_chemical_formula_sum 'Pa8 Pt2 Se6'
_cell_length_a 8.470
_cell_length_b 11.671
_cell_length_c 3.905
_cell_angle_alpha 90.00
_cell_angle_beta 90.00
_cell_angle_gamma 90.00
_space_group_name_H-M_alt 'P 1'
_space_group_IT_number 1
_space_group_name_Hall 'P 1'
loop_
_atom_site_label
_atom_site_fract_x
_atom_site_fract_y
_atom_site_fract_z
Pa1 0.000 0.250 0.000
Pa2 0.000 0.750 0.000
Pa3 0.239 0.000 0.500
Pa4 0.261 0.500 0.500
Pa5 0.500 0.250 0.000
Pa6 0.500 0.750 0.000
Pa7 0.739 0.500 0.500
Pa8 0.761 0.000 0.500
Pt1 0.000 0.000 0.000
Pt2 0.500 0.500 0.000
Se1 0.000 0.500 0.000
Se2 0.250 0.250 0.500
Se3 0.250 0.750 0.500
Se4 0.500 0.000 0.000
Se5 0.750 0.250 0.500
Se6 0.750 0.750 0.500
# energy = -126.61 eV for the cell shown
# D(E_F) = 14.67 states/eV/f.u.
# energy relative to the elements, uncorrected = -1.103 eV per atom
# M_tot = 0.02 μB per formula unit



Entry 3:
# Rb2InBi | the Alexandria database | PBE-GGA | relaxed
data_Rb2InBi
_chemical_formula_sum 'Rb4 In2 Bi2'
_cell_length_a 4.760
_cell_length_b 10.719
_cell_length_c 7.565
_cell_angle_alpha 90.00
_cell_angle_beta 90.00
_cell_angle_gamma 90.00
_space_group_name_H-M_alt 'P 1'
_space_group_IT_number 1
_space_group_name_Hall 'P 1'
loop_
_atom_site_label
_atom_site_fract_x
_atom_site_fract_y
_atom_site_fract_z
Rb1 0.000 0.189 0.000
Rb2 0.000 0.811 0.000
Rb3 0.500 0.311 0.500
Rb4 0.500 0.689 0.500
In1 0.000 0.500 0.215
In2 0.500 0.000 0.715
Bi1 0.000 0.000 0.468
Bi2 0.500 0.500 0.968
# energy = -18.91 eV for the cell shown
# D(E_F) = 0.58 states/eV/f.u.
# M_tot = 0.00 μB per formula unit



Entry 4:
# TmZn11Ga | the Alexandria database | PBE-GGA | relaxed
data_TmZn11Ga
_chemical_formula_sum 'Tm1 Zn11 Ga1'
_cell_length_a 6.794
_cell_length_b 6.794
_cell_length_c 6.780
_cell_angle_alpha 98.53
_cell_angle_beta 98.53
_cell_angle_gamma 134.53
_space_group_name_H-M_alt 'P 1'
_space_group_IT_number 1
_space_group_name_Hall 'P 1'
loop_
_atom_site_label
_atom_site_fract_x
_atom_site_fract_y
_atom_site_fract_z
Tm1 0.000 0.000 0.000
Zn1 0.000 0.000 0.500
Zn2 0.000 0.500 0.000
Zn3 0.009 0.652 0.648
Zn4 0.280 0.496 0.787
Zn5 0.348 0.991 0.352
Zn6 0.496 0.280 0.787
Zn7 0.500 0.000 0.000
Zn8 0.504 0.720 0.213
Zn9 0.652 0.009 0.648
Zn10 0.720 0.504 0.213
Zn11 0.991 0.348 0.352
Ga1 0.500 0.500 0.500
# energy = -23.36 eV for the cell shown
# D(E_F) = 2.47 states/eV/f.u.
# M_tot = 0.00 μB per formula unit



Entry 5:
# LaTlCr2Pt | the Alexandria database | PBE-GGA | relaxed
data_LaTlCr2Pt
_chemical_formula_sum 'La1 Tl1 Cr2 Pt1'
_cell_length_a 4.453
_cell_length_b 4.453
_cell_length_c 5.790
_cell_angle_alpha 90.00
_cell_angle_beta 90.00
_cell_angle_gamma 90.00
_space_group_name_H-M_alt 'P 1'
_space_group_IT_number 1
_space_group_name_Hall 'P 1'
loop_
_atom_site_label
_atom_site_fract_x
_atom_site_fract_y
_atom_site_fract_z
La1 0.000 0.000 0.000
Tl1 0.000 0.000 0.500
Cr1 0.000 0.500 0.000
Cr2 0.500 0.000 0.000
Pt1 0.500 0.500 0.500
# energy = -22.77 eV for the cell shown
# D(E_F) = 7.84 states/eV/f.u.
# M_tot = 0.00 μB per formula unit



Entry 6:
# La2NdErBi4 | the Alexandria database | PBE-GGA | relaxed
data_La2NdErBi4
_chemical_formula_sum 'La2 Nd1 Er1 Bi4'
_cell_length_a 7.988
_cell_length_b 4.626
_cell_length_c 8.004
_cell_angle_alpha 90.00
_cell_angle_beta 109.53
_cell_angle_gamma 90.00
_space_group_name_H-M_alt 'P 1'
_space_group_IT_number 1
_space_group_name_Hall 'P 1'
loop_
_atom_site_label
_atom_site_fract_x
_atom_site_fract_y
_atom_site_fract_z
La1 0.000 0.000 0.000
La2 0.000 0.500 0.500
Nd1 0.500 0.000 0.500
Er1 0.500 0.500 0.000
Bi1 0.258 0.500 0.248
Bi2 0.261 0.000 0.758
Bi3 0.739 0.000 0.242
Bi4 0.742 0.500 0.752
# energy = -42.41 eV for the cell shown
# D(E_F) = 1.05 states/eV/f.u.
# M_tot = 0.00 μB per formula unit



Entry 7:
# YCrRe3 | the Alexandria database | PBE-GGA | relaxed
data_YCrRe3
_chemical_formula_sum 'Y1 Cr1 Re3'
_cell_length_a 4.544
_cell_length_b 4.544
_cell_length_c 4.544
_cell_angle_alpha 90.00
_cell_angle_beta 90.00
_cell_angle_gamma 90.00
_space_group_name_H-M_alt 'P 1'
_space_group_IT_number 1
_space_group_name_Hall 'P 1'
loop_
_atom_site_label
_atom_site_fract_x
_atom_site_fract_y
_atom_site_fract_z
Y1 0.000 0.000 0.000
Cr1 0.500 0.500 0.500
Re1 0.000 0.500 0.500
Re2 0.500 0.000 0.500
Re3 0.500 0.500 0.000
# energy = -48.75 eV for the cell shown
# D(E_F) = 5.55 states/eV/f.u.
# M_tot = 0.00 μB per formula unit



Entry 8:
# Ca2PtBr | the Alexandria database | PBE-GGA | relaxed
data_Ca2PtBr
_chemical_formula_sum 'Ca8 Pt4 Br4'
_cell_length_a 7.322
_cell_length_b 7.322
_cell_length_c 7.322
_cell_angle_alpha 90.00
_cell_angle_beta 90.00
_cell_angle_gamma 90.00
_space_group_name_H-M_alt 'P 1'
_space_group_IT_number 1
_space_group_name_Hall 'P 1'
loop_
_atom_site_label
_atom_site_fract_x
_atom_site_fract_y
_atom_site_fract_z
Ca1 0.250 0.250 0.250
Ca2 0.250 0.250 0.750
Ca3 0.250 0.750 0.250
Ca4 0.250 0.750 0.750
Ca5 0.750 0.250 0.250
Ca6 0.750 0.250 0.750
Ca7 0.750 0.750 0.250
Ca8 0.750 0.750 0.750
Pt1 0.000 0.000 0.000
Pt2 0.000 0.500 0.500
Pt3 0.500 0.000 0.500
Pt4 0.500 0.500 0.000
Br1 0.000 0.000 0.500
Br2 0.000 0.500 0.000
Br3 0.500 0.000 0.000
Br4 0.500 0.500 0.500
# energy = -62.32 eV for the cell shown
# D(E_F) = 1.69 states/eV/f.u.
# energy relative to the elements, uncorrected = -0.966 eV per atom
# M_tot = 0.00 μB per formula unit



Entry 9:
# MgMnAlFe | the Alexandria database | PBE-GGA | relaxed
data_MgMnAlFe
_chemical_formula_sum 'Mg4 Mn4 Al4 Fe4'
_cell_length_a 6.061
_cell_length_b 6.061
_cell_length_c 6.061
_cell_angle_alpha 90.00
_cell_angle_beta 90.00
_cell_angle_gamma 90.00
_space_group_name_H-M_alt 'P 1'
_space_group_IT_number 1
_space_group_name_Hall 'P 1'
loop_
_atom_site_label
_atom_site_fract_x
_atom_site_fract_y
_atom_site_fract_z
Mg1 0.000 0.000 0.000
Mg2 0.000 0.500 0.500
Mg3 0.500 0.000 0.500
Mg4 0.500 0.500 0.000
Mn1 0.250 0.250 0.250
Mn2 0.250 0.750 0.750
Mn3 0.750 0.250 0.750
Mn4 0.750 0.750 0.250
Al1 0.000 0.000 0.500
Al2 0.000 0.500 0.000
Al3 0.500 0.000 0.000
Al4 0.500 0.500 0.500
Fe1 0.250 0.250 0.750
Fe2 0.250 0.750 0.250
Fe3 0.750 0.250 0.250
Fe4 0.750 0.750 0.750
# energy = -91.16 eV for the cell shown
# D(E_F) = 4.30 states/eV/f.u.
# M_tot = 4.62 μB per formula unit



Entry 10:
# Rb2Cd2Se | the Alexandria database | PBE-GGA | relaxed
data_Rb2Cd2Se
_chemical_formula_sum 'Rb4 Cd4 Se2'
_cell_length_a 7.110
_cell_length_b 7.110
_cell_length_c 8.566
_cell_angle_alpha 90.00
_cell_angle_beta 90.00
_cell_angle_gamma 90.00
_space_group_name_H-M_alt 'P 1'
_space_group_IT_number 1
_space_group_name_Hall 'P 1'
loop_
_atom_site_label
_atom_site_fract_x
_atom_site_fract_y
_atom_site_fract_z
Rb1 0.000 0.500 0.250
Rb2 0.000 0.500 0.750
Rb3 0.500 0.000 0.250
Rb4 0.500 0.000 0.750
Cd1 0.000 0.000 0.173
Cd2 0.000 0.000 0.827
Cd3 0.500 0.500 0.327
Cd4 0.500 0.500 0.673
Se1 0.000 0.000 0.500
Se2 0.500 0.500 0.000
# energy = -16.69 eV for the cell shown
# D(E_F) = 4.53 states/eV/f.u.
# energy relative to the elements, uncorrected = -0.219 eV per atom
# M_tot = 0.00 μB per formula unit



Entry 11:
# MoRuRh3 | the Alexandria database | PBE-GGA | relaxed
data_MoRuRh3
_chemical_formula_sum 'Mo1 Ru1 Rh3'
_cell_length_a 4.592
_cell_length_b 4.592
_cell_length_c 4.592
_cell_angle_alpha 90.00
_cell_angle_beta 90.00
_cell_angle_gamma 90.00
_space_group_name_H-M_alt 'P 1'
_space_group_IT_number 1
_space_group_name_Hall 'P 1'
loop_
_atom_site_label
_atom_site_fract_x
_atom_site_fract_y
_atom_site_fract_z
Mo1 0.000 0.000 0.000
Ru1 0.500 0.500 0.500
Rh1 0.000 0.500 0.500
Rh2 0.500 0.000 0.500
Rh3 0.500 0.500 0.000
# energy = -33.27 eV for the cell shown
# D(E_F) = 12.13 states/eV/f.u.
# M_tot = 0.00 μB per formula unit



Entry 12:
# CsCd3Rh | the Alexandria database | PBE-GGA | relaxed
data_CsCd3Rh
_chemical_formula_sum 'Cs2 Cd6 Rh2'
_cell_length_a 10.849
_cell_length_b 10.849
_cell_length_c 5.584
_cell_angle_alpha 90.00
_cell_angle_beta 90.00
_cell_angle_gamma 151.12
_space_group_name_H-M_alt 'P 1'
_space_group_IT_number 1
_space_group_name_Hall 'P 1'
loop_
_atom_site_label
_atom_site_fract_x
_atom_site_fract_y
_atom_site_fract_z
Cs1 0.201 0.799 0.750
Cs2 0.799 0.201 0.250
Cd1 0.000 0.000 0.000
Cd2 0.000 0.000 0.500
Cd3 0.150 0.363 0.750
Cd4 0.363 0.150 0.250
Cd5 0.637 0.850 0.750
Cd6 0.850 0.637 0.250
Rh1 0.488 0.512 0.250
Rh2 0.512 0.488 0.750
# energy = -20.22 eV for the cell shown
# D(E_F) = 3.74 states/eV/f.u.
# M_tot = 0.33 μB per formula unit



Entry 13:
# SiTe2Cl | the Alexandria database | PBE-GGA | relaxed
data_SiTe2Cl
_chemical_formula_sum 'Si3 Te6 Cl3'
_cell_length_a 3.936
_cell_length_b 3.936
_cell_length_c 22.965
_cell_angle_alpha 90.00
_cell_angle_beta 90.00
_cell_angle_gamma 120.00
_space_group_name_H-M_alt 'P 1'
_space_group_IT_number 1
_space_group_name_Hall 'P 1'
loop_
_atom_site_label
_atom_site_fract_x
_atom_site_fract_y
_atom_site_fract_z
Si1 0.000 0.000 0.000
Si2 0.333 0.667 0.667
Si3 0.667 0.333 0.333
Te1 0.000 0.000 0.265
Te2 0.000 0.000 0.735
Te3 0.333 0.667 0.402
Te4 0.333 0.667 0.932
Te5 0.667 0.333 0.068
Te6 0.667 0.333 0.598
Cl1 0.000 0.000 0.500
Cl2 0.333 0.667 0.167
Cl3 0.667 0.333 0.833
# energy = -40.42 eV for the cell shown
# D(E_F) = 3.75 states/eV/f.u.
# energy relative to the elements, uncorrected = 0.020 eV per atom
# M_tot = 0.00 μB per formula unit



Entry 14:
# KRu2W | the Alexandria database | PBE-GGA | relaxed
data_KRu2W
_chemical_formula_sum 'K1 Ru2 W1'
_cell_length_a 4.735
_cell_length_b 4.735
_cell_length_c 3.014
_cell_angle_alpha 90.00
_cell_angle_beta 90.00
_cell_angle_gamma 90.00
_space_group_name_H-M_alt 'P 1'
_space_group_IT_number 1
_space_group_name_Hall 'P 1'
loop_
_atom_site_label
_atom_site_fract_x
_atom_site_fract_y
_atom_site_fract_z
K1 0.000 0.000 0.000
Ru1 0.000 0.500 0.500
Ru2 0.500 0.000 0.500
W1 0.500 0.500 0.000
# energy = -27.39 eV for the cell shown
# D(E_F) = 6.64 states/eV/f.u.
# M_tot = 0.00 μB per formula unit



Entry 15:
# HoReC2 | the Alexandria database | PBE-GGA | relaxed
data_HoReC2
_chemical_formula_sum 'Ho4 Re4 C8'
_cell_length_a 5.620
_cell_length_b 3.332
_cell_length_c 10.805
_cell_angle_alpha 90.00
_cell_angle_beta 90.00
_cell_angle_gamma 90.00
_space_group_name_H-M_alt 'P 1'
_space_group_IT_number 1
_space_group_name_Hall 'P 1'
loop_
_atom_site_label
_atom_site_fract_x
_atom_site_fract_y
_atom_site_fract_z
Ho1 0.099 0.250 0.132
Ho2 0.401 0.750 0.632
Ho3 0.599 0.250 0.368
Ho4 0.901 0.750 0.868
Re1 0.104 0.750 0.382
Re2 0.396 0.250 0.882
Re3 0.604 0.750 0.118
Re4 0.896 0.250 0.618
C1 0.152 0.250 0.753
C2 0.220 0.250 0.483
C3 0.280 0.750 0.983
C4 0.348 0.750 0.253
C5 0.652 0.250 0.747
C6 0.720 0.250 0.017
C7 0.780 0.750 0.517
C8 0.848 0.750 0.247
# energy = -145.01 eV for the cell shown
# D(E_F) = 0.74 states/eV/f.u.
# M_tot = 0.00 μB per formula unit



Entry 16:
# BaNaLiGa | the Alexandria database | PBE-GGA | relaxed
data_BaNaLiGa
_chemical_formula_sum 'Ba4 Na4 Li4 Ga4'
_cell_length_a 7.863
_cell_length_b 7.863
_cell_length_c 7.863
_cell_angle_alpha 90.00
_cell_angle_beta 90.00
_cell_angle_gamma 90.00
_space_group_name_H-M_alt 'P 1'
_space_group_IT_number 1
_space_group_name_Hall 'P 1'
loop_
_atom_site_label
_atom_site_fract_x
_atom_site_fract_y
_atom_site_fract_z
Ba1 0.000 0.000 0.000
Ba2 0.000 0.500 0.500
Ba3 0.500 0.000 0.500
Ba4 0.500 0.500 0.000
Na1 0.250 0.250 0.750
Na2 0.250 0.750 0.250
Na3 0.750 0.250 0.250
Na4 0.750 0.750 0.750
Li1 0.000 0.000 0.500
Li2 0.000 0.500 0.000
Li3 0.500 0.000 0.000
Li4 0.500 0.500 0.500
Ga1 0.250 0.250 0.250
Ga2 0.250 0.750 0.750
Ga3 0.750 0.250 0.750
Ga4 0.750 0.750 0.250
# energy = -33.50 eV for the cell shown
# D(E_F) = 3.57 states/eV/f.u.
# M_tot = 0.98 μB per formula unit



Entry 17:
# MnAu4Se | the Alexandria database | PBE-GGA | relaxed
data_MnAu4Se
_chemical_formula_sum 'Mn1 Au4 Se1'
_cell_length_a 5.522
_cell_length_b 5.522
_cell_length_c 5.522
_cell_angle_alpha 60.00
_cell_angle_beta 60.00
_cell_angle_gamma 60.00
_space_group_name_H-M_alt 'P 1'
_space_group_IT_number 1
_space_group_name_Hall 'P 1'
loop_
_atom_site_label
_atom_site_fract_x
_atom_site_fract_y
_atom_site_fract_z
Mn1 0.000 0.000 0.000
Au1 0.375 0.375 0.375
Au2 0.375 0.375 0.876
Au3 0.375 0.876 0.375
Au4 0.876 0.375 0.375
Se1 0.750 0.750 0.750
# energy = -24.54 eV for the cell shown
# D(E_F) = 0.56 states/eV/f.u.
# energy relative to the elements, uncorrected = 0.203 eV per atom
# M_tot = 4.97 μB per formula unit



Entry 18:
# PmNd2ErS5 | the Alexandria database | PBE-GGA | relaxed
data_PmNd2ErS5
_chemical_formula_sum 'Pm1 Nd2 Er1 S5'
_cell_length_a 4.845
_cell_length_b 4.845
_cell_length_c 10.433
_cell_angle_alpha 90.00
_cell_angle_beta 90.00
_cell_angle_gamma 90.00
_space_group_name_H-M_alt 'P 1'
_space_group_IT_number 1
_space_group_name_Hall 'P 1'
loop_
_atom_site_label
_atom_site_fract_x
_atom_site_fract_y
_atom_site_fract_z
Pm1 0.000 0.000 0.000
Nd1 0.500 0.500 0.310
Nd2 0.500 0.500 0.690
Er1 0.000 0.000 0.500
S1 0.000 0.000 0.250
S2 0.000 0.000 0.750
S3 0.000 0.500 0.500
S4 0.500 0.000 0.500
S5 0.500 0.500 0.000
# energy = -52.87 eV for the cell shown
# D(E_F) = 5.19 states/eV/f.u.
# energy relative to the elements, uncorrected = -1.487 eV per atom
# M_tot = 0.00 μB per formula unit



Entry 19:
# CaCo2As | the Alexandria database | PBE-GGA | relaxed
data_CaCo2As
_chemical_formula_sum 'Ca2 Co4 As2'
_cell_length_a 7.000
_cell_length_b 4.043
_cell_length_c 5.523
_cell_angle_alpha 90.00
_cell_angle_beta 115.06
_cell_angle_gamma 90.00
_space_group_name_H-M_alt 'P 1'
_space_group_IT_number 1
_space_group_name_Hall 'P 1'
loop_
_atom_site_label
_atom_site_fract_x
_atom_site_fract_y
_atom_site_fract_z
Ca1 0.000 0.000 0.000
Ca2 0.500 0.500 0.000
Co1 0.189 0.000 0.567
Co2 0.311 0.500 0.433
Co3 0.689 0.500 0.567
Co4 0.811 0.000 0.433
As1 0.000 0.500 0.500
As2 0.500 0.000 0.500
# energy = -43.97 eV for the cell shown
# D(E_F) = 5.28 states/eV/f.u.
# M_tot = 0.28 μB per formula unit



Entry 20:
# KSnI6 | the Alexandria database | PBE-GGA | relaxed
data_KSnI6
_chemical_formula_sum 'K1 Sn1 I6'
_cell_length_a 7.001
_cell_length_b 7.940
_cell_length_c 8.979
_cell_angle_alpha 64.82
_cell_angle_beta 79.64
_cell_angle_gamma 89.57
_space_group_name_H-M_alt 'P 1'
_space_group_IT_number 1
_space_group_name_Hall 'P 1'
loop_
_atom_site_label
_atom_site_fract_x
_atom_site_fract_y
_atom_site_fract_z
K1 0.000 0.000 0.000
Sn1 0.000 0.000 0.500
I1 0.068 0.321 0.172
I2 0.239 0.774 0.356
I3 0.315 0.158 0.589
I4 0.685 0.842 0.411
I5 0.761 0.226 0.644
I6 0.932 0.679 0.828
# energy = -18.14 eV for the cell shown
# D(E_F) = 3.84 states/eV/f.u.
# energy relative to the elements, uncorrected = -0.467 eV per atom
# M_tot = 0.00 μB per formula unit